1.
# La3Al9Pt2

An optimized crystal structure of La3Al9Pt2 (GGA-PBE, Alexandria via LeMat-Bulk).

Cell lengths 4.4010, 8.4568, 8.4568 Å; angles 74.80, 74.92, 74.92 degrees
Fractional positions:
Al: 0.6648 0.7003 0.9701
Pt: 0.5000 0.7221 0.2779
Pt: 0.5000 0.2779 0.7221
Al: 0.1212 0.1587 0.5989
La: 0.3152 0.6848 0.6848
Al: 0.0000 0.5000 0.5000
Al: 0.3352 0.0299 0.2997
Al: 0.8788 0.8413 0.4011
Al: 0.1212 0.5989 0.1587
La: 0.6848 0.3152 0.3152
Al: 0.6648 0.9701 0.7003
La: 0.0000 0.0000 0.0000
Al: 0.3352 0.2997 0.0299
Al: 0.8788 0.4011 0.8413

Values from the calculation:
* ΔE_f: -936 kJ/mol of formula units
* SG: No. 71

2.
# Ca2Ac12La

An optimized crystal structure of Ca2Ac12La (GGA-PBE, Alexandria via LeMat-Bulk).

Cell lengths 7.1850, 7.1850, 28.2316 Å; angles 90.00, 90.00, 90.00 degrees
Fractional positions:
Ac: 0.3155 0.1845 0.8908
Ac: 0.5000 0.5000 0.6613
Ac: 0.1845 0.6845 0.8908
Ac: 0.8155 0.3155 0.8908
Ac: 0.3155 0.8155 0.1092
La: 0.0000 0.5000 0.0000
Ac: 0.5000 0.5000 0.3387
Ac: 0.8155 0.6845 0.1092
Ac: 0.8285 0.6715 0.4396
La: 0.5000 0.0000 0.0000
Ac: 0.5000 0.5000 0.7898
Ac: 0.0000 0.0000 0.3387
Ac: 0.0000 0.0000 0.2102
Ac: 0.3285 0.1715 0.5604
Ac: 0.6715 0.1715 0.4396
Ca: 0.5000 0.0000 0.7272
Ac: 0.8285 0.3285 0.5604
Ac: 0.0000 0.0000 0.7898
Ac: 0.1715 0.3285 0.4396
Ca: 0.0000 0.5000 0.2728
Ac: 0.5000 0.5000 0.2102
Ac: 0.6715 0.8285 0.5604
Ac: 0.1845 0.3155 0.1092
Ac: 0.6845 0.1845 0.1092
Ac: 0.6845 0.8155 0.8908
Ac: 0.0000 0.0000 0.6613
Ac: 0.3285 0.8285 0.4396
Ac: 0.1715 0.6715 0.5604
Ca: 0.5000 0.0000 0.2728
Ca: 0.0000 0.5000 0.7272

Values from the calculation:
* ΔE_f: 481 kJ/mol of formula units
* SG: No. 125

3.
# Li2AcTeN

An optimized crystal structure of Li2AcTeN (GGA-PBE, Alexandria via LeMat-Bulk).

Cell lengths 3.9482, 6.8129, 7.6168 Å; angles 90.00, 90.00, 106.84 degrees
Fractional positions:
Li: 0.1490 0.2981 0.9471
Ac: 0.4646 0.9293 0.7500
N: 0.0000 0.0000 0.5000
N: 0.0000 0.0000 0.0000
Ac: 0.5354 0.0707 0.2500
Li: 0.8510 0.7019 0.0529
Te: 0.7345 0.4690 0.7500
Te: 0.2655 0.5310 0.2500
Li: 0.1490 0.2981 0.5529
Li: 0.8510 0.7019 0.4471

Values from the calculation:
* energy relative to the elements, uncorrected: -1.036 eV per atom
* SG: No. 63

4.
# Cs5SbAu2

An optimized crystal structure of Cs5SbAu2 (GGA-PBE, Alexandria via LeMat-Bulk).

Cell lengths 9.4819, 9.4819, 11.0993 Å; angles 115.29, 115.29, 90.00 degrees
Fractional positions:
Sb: 0.2500 0.2500 0.5000
Cs: 0.8207 0.9640 0.2847
Cs: 0.1793 0.0360 0.7153
Cs: 0.6793 0.1793 0.7153
Au: 0.1104 0.3896 0.0000
Cs: 0.9640 0.4640 0.2847
Au: 0.6104 0.1104 0.0000
Cs: 0.0360 0.5360 0.7153
Au: 0.3896 0.8896 0.0000
Cs: 0.0000 0.0000 0.0000
Au: 0.8896 0.6104 0.0000
Cs: 0.5360 0.6793 0.7153
Sb: 0.7500 0.7500 0.5000
Cs: 0.5000 0.5000 0.0000
Cs: 0.3207 0.8207 0.2847
Cs: 0.4640 0.3207 0.2847

Values from the calculation:
* energy relative to the elements, uncorrected: -0.377 eV per atom
* SG: No. 140